[1]
DFT (GGA-PBE) results for crystalline Y2Si3Mo4C3 at its relaxed geometry.

Cell and atoms, written as POSCAR:
```
Y2Si3Mo4C3
1.0
4.722 -2.740 0.000
4.722 2.740 0.000
-3.242 0.000 13.259
Y Si Mo C
4 6 8 6
Cartesian
2.324 2.286 8.240
2.256 2.286 11.649
3.945 -2.286 1.610
3.877 -2.286 5.019
-0.112 0.867 9.941
1.509 -0.867 3.311
3.911 0.407 3.315
2.290 -0.407 9.944
4.693 0.867 9.948
6.314 -0.867 3.319
2.314 0.432 1.078
2.328 0.506 5.545
0.693 -0.432 7.708
0.707 -0.506 12.175
5.494 0.506 1.084
5.508 0.432 5.552
3.873 -0.506 7.714
3.887 -0.432 12.181
0.740 1.370 6.630
0.673 1.338 13.257
3.908 1.338 6.632
2.361 -1.370 0.000
2.294 -1.338 6.627
5.529 -1.338 0.002
```

E_tot (eV for the cell shown): -209.76

---

[2]
DFT (GGA-PBE) results for crystalline SmAgPd at its relaxed geometry.

Cell and atoms, written as POSCAR:
```
SmAgPd
1.0
0.000 3.311 3.311
3.311 0.000 3.311
3.311 3.311 0.000
Sm Ag Pd
1 1 1
Cartesian
0.000 0.000 0.000
3.311 3.311 3.311
4.967 4.967 4.967
```

E_tot (eV for the cell shown): -14.09
E above lowest polymorph (eV per atom): 0.000

---

[3]
DFT (GGA-PBE) results for crystalline Hf4CdPbC2 at its relaxed geometry.

Cell and atoms, written as POSCAR:
```
Hf4CdPbC2
1.0
3.333 0.000 0.000
-1.667 2.887 0.000
0.000 0.000 14.898
Hf Cd Pb C
4 1 1 2
Cartesian
0.000 0.000 2.507
0.000 0.000 12.391
0.000 1.925 4.939
0.000 1.925 9.959
0.000 0.000 7.449
0.000 1.925 0.000
1.667 0.962 3.717
1.667 0.962 11.181
```

E_tot (eV for the cell shown): -67.73

---

[4]
DFT (GGA-PBE) results for crystalline Cu7Ag3 at its relaxed geometry.

Cell and atoms, written as POSCAR:
```
Cu7Ag3
1.0
5.713 -1.372 0.000
5.713 1.372 0.000
-1.864 0.000 8.761
Cu Ag
7 3
Cartesian
0.000 0.000 0.000
0.575 0.000 2.655
1.247 0.000 5.224
4.303 0.000 1.757
5.259 0.000 7.004
8.316 0.000 3.537
8.987 0.000 6.106
1.763 0.000 7.808
4.781 0.000 4.380
7.800 0.000 0.953
```

E_tot (eV for the cell shown): -33.52
E above lowest polymorph (eV per atom): 0.052

---

[5]
DFT (GGA-PBE) results for crystalline Lu4FeCoC2 at its relaxed geometry.

Cell and atoms, written as POSCAR:
```
Lu4FeCoC2
1.0
3.441 0.000 0.000
-1.720 2.980 0.000
0.000 0.000 13.787
Lu Fe Co C
4 1 1 2
Cartesian
0.000 0.000 2.006
0.000 0.000 11.781
1.720 0.993 4.675
1.720 0.993 9.112
0.000 0.000 6.893
1.720 0.993 0.000
0.000 1.987 3.369
0.000 1.987 10.418
```

E_tot (eV for the cell shown): -52.05

---

[6]
DFT (GGA-PBE) results for crystalline Pr2Y2CBr3Cl2 at its relaxed geometry.

Cell and atoms, written as POSCAR:
```
Pr2Y2CBr3Cl2
1.0
8.827 -1.922 0.000
8.827 1.922 0.000
-2.018 0.000 7.916
Pr Y C Br Cl
2 2 1 3 2
Cartesian
2.455 0.000 0.641
13.182 0.000 7.274
8.396 0.000 1.597
7.241 0.000 6.319
0.000 0.000 0.000
-1.009 0.000 3.958
4.656 0.000 5.034
10.981 0.000 2.881
5.574 0.000 1.378
10.063 0.000 6.538
```

E_tot (eV for the cell shown): -55.73
E above lowest polymorph (eV per atom): 0.010